[1]
Entry from Alexandria via LeMat-Bulk: a PBEsol-optimized structure of Tc3GeAu (SCAN).

Unit cell a=4.4466 b=4.4466 c=4.4466 alpha=90.00 beta=90.00 gamma=90.00
Space group Pm-3m (No. 221)
Inequivalent atoms, fractional coordinates:
Tc  0.0000  0.0000  0.5000 [3 per cell]
Ge  0.0000  0.0000  0.0000 [1 per cell]
Au  0.5000  0.5000  0.5000 [1 per cell]

DFT total energy   -186.6 eV for the cell shown
Energy relative to the elements   1.3646 eV per atom
Crystal system   cubic
Magnetic moment   0.0 μB/cell
DOS(E_F)   1.096 states/eV/atom


[2]
Entry from Alexandria via LeMat-Bulk: a PBEsol-optimized structure of BeAs4Cl (SCAN).

Unit cell a=7.8957 b=7.8957 c=7.8957 alpha=90.00 beta=90.00 gamma=90.00
Space group F-43m (No. 216)
Inequivalent atoms, fractional coordinates:
Be  0.0000  0.0000  0.0000 [4 per cell]
As  0.1125  0.1125  0.6125 [16 per cell]
Cl  0.2500  0.2500  0.2500 [4 per cell]

DFT total energy   -358.7 eV for the cell shown
Crystal system   cubic
Magnetic moment   0.0 μB/cell
DOS(E_F)   0.311 states/eV/atom


[3]
Entry from Alexandria via LeMat-Bulk: a PBEsol-optimized structure of KMg30FeO32 (SCAN).

Unit cell a=8.4881 b=8.4881 c=8.4930 alpha=90.00 beta=90.00 gamma=90.00
Space group P4/mmm (No. 123)
Inequivalent atoms, fractional coordinates:
K  0.0000  0.0000  0.0000 [1 per cell]
Mg  0.0000  0.0000  0.5000 [1 per cell]
Mg  0.0000  0.2505  0.2516 [8 per cell]
Mg  0.0000  0.5000  0.0000 [2 per cell]
Mg  0.0000  0.5000  0.5000 [2 per cell]
Mg  0.2493  0.2493  0.5000 [4 per cell]
Mg  0.2503  0.2503  0.0000 [4 per cell]
Mg  0.2497  0.5000  0.2499 [8 per cell]
Mg  0.5000  0.5000  0.5000 [1 per cell]
Fe  0.5000  0.5000  0.0000 [1 per cell]
O  0.0000  0.0000  0.2731 [2 per cell]
O  0.0000  0.2553  0.5000 [4 per cell]
O  0.0000  0.2748  0.0000 [4 per cell]
O  0.0000  0.5000  0.2520 [4 per cell]
O  0.2508  0.2508  0.2491 [8 per cell]
O  0.2542  0.5000  0.5000 [4 per cell]
O  0.2670  0.5000  0.0000 [4 per cell]
O  0.5000  0.5000  0.2385 [2 per cell]

DFT total energy   -558.7 eV for the cell shown
Crystal system   tetragonal
Magnetic moment   1.0 μB/cell


[4]
Entry from Alexandria via LeMat-Bulk: a PBEsol-optimized structure of YGa2IrN (SCAN).

Unit cell a=5.0559 b=5.0559 c=3.6768 alpha=90.00 beta=90.00 gamma=90.00
Space group P4/mmm (No. 123)
Inequivalent atoms, fractional coordinates:
Y  0.0000  0.0000  0.0000 [1 per cell]
Ga  0.0000  0.5000  0.5000 [2 per cell]
Ir  0.5000  0.5000  0.5000 [1 per cell]
N  0.5000  0.5000  0.0000 [1 per cell]

DFT total energy   -140.6 eV for the cell shown
Crystal system   tetragonal
Magnetic moment   0.0 μB/cell
DOS(E_F)   0.805 states/eV/atom


[5]
Entry from Alexandria via LeMat-Bulk: a PBEsol-optimized structure of Sc2Nb3Ge4 (SCAN).

Unit cell a=6.7868 b=13.1894 c=6.9583 alpha=90.00 beta=90.00 gamma=90.00
Space group Pnma (No. 62)
Inequivalent atoms, fractional coordinates:
Sc  0.0065  0.0941  0.1763 [8 per cell]
Nb  0.1572  0.6260  0.3289 [8 per cell]
Nb  0.1664  0.2500  0.5105 [4 per cell]
Ge  0.0420  0.2500  0.8895 [4 per cell]
Ge  0.1818  0.0398  0.5340 [8 per cell]
Ge  0.1925  0.7500  0.6486 [4 per cell]

DFT total energy   -846.4 eV for the cell shown
Energy relative to the elements   -0.8200 eV per atom
Crystal system   orthorhombic
Magnetic moment   0.0 μB/cell
DOS(E_F)   0.333 states/eV/atom


[6]
Entry from Alexandria via LeMat-Bulk: a PBEsol-optimized structure of Dy2InNi2 (SCAN).

Unit cell a=3.8794 b=14.0058 c=3.5792 alpha=90.00 beta=90.00 gamma=90.00
Space group Cmmm (No. 65)
Inequivalent atoms, fractional coordinates:
Dy  0.0000  0.1384  0.0000 [4 per cell]
In  0.0000  0.5000  0.5000 [2 per cell]
Ni  0.0000  0.3009  0.5000 [4 per cell]

DFT total energy   -328.6 eV for the cell shown
Energy relative to the elements   -0.5913 eV per atom
Crystal system   orthorhombic
Magnetic moment   0.0 μB/cell
DOS(E_F)   0.458 states/eV/atom


[7]
Entry from Alexandria via LeMat-Bulk: a PBEsol-optimized structure of AsPAu2 (SCAN).

Unit cell a=3.8958 b=3.8958 c=9.0224 alpha=90.00 beta=90.00 gamma=90.00
Space group I4/mmm (No. 139)
Inequivalent atoms, fractional coordinates:
As  0.0000  0.0000  0.0000 [2 per cell]
P  0.0000  0.0000  0.5000 [2 per cell]
Au  0.0000  0.5000  0.2500 [4 per cell]

DFT total energy   -334.5 eV for the cell shown
Energy relative to the elements   0.4185 eV per atom
Crystal system   tetragonal
Magnetic moment   0.0 μB/cell
DOS(E_F)   0.309 states/eV/atom


[8]
Entry from Alexandria via LeMat-Bulk: a PBEsol-optimized structure of NiHSN2 (SCAN).

Unit cell a=3.6721 b=3.6721 c=2.9935 alpha=90.00 beta=90.00 gamma=90.00
Space group P4/mmm (No. 123)
Inequivalent atoms, fractional coordinates:
Ni  0.0000  0.0000  0.0000 [1 per cell]
H  0.5000  0.5000  0.5000 [1 per cell]
S  0.5000  0.5000  0.0000 [1 per cell]
N  0.0000  0.5000  0.5000 [2 per cell]

DFT total energy   -37.5 eV for the cell shown
Crystal system   tetragonal
Magnetic moment   0.0 μB/cell
DOS(E_F)   0.451 states/eV/atom


[9]
Entry from Alexandria via LeMat-Bulk: a PBEsol-optimized structure of MoPdPt2 (SCAN).

Unit cell a=6.2218 b=6.2218 c=6.2218 alpha=90.00 beta=90.00 gamma=90.00
Space group Fm-3m (No. 225)
Inequivalent atoms, fractional coordinates:
Mo  0.0000  0.0000  0.0000 [4 per cell]
Pd  0.0000  0.0000  0.5000 [4 per cell]
Pt  0.2500  0.2500  0.2500 [8 per cell]

DFT total energy   -832.9 eV for the cell shown
Energy relative to the elements   -0.0427 eV per atom
Crystal system   cubic
Magnetic moment   0.0 μB/cell
DOS(E_F)   1.198 states/eV/atom


[10]
Entry from Alexandria via LeMat-Bulk: a PBEsol-optimized structure of Mn2CrSb (SCAN).

Unit cell a=2.9678 b=2.9678 c=23.3036 alpha=90.00 beta=90.00 gamma=120.00
Space group R3m (No. 160, hexagonal axes)
Inequivalent atoms, fractional coordinates:
Mn  0.0000  0.0000  0.0000 [3 per cell]
Mn  0.0000  0.0000  0.2569 [3 per cell]
Cr  0.0000  0.0000  0.5241 [3 per cell]
Sb  0.0000  0.0000  0.7617 [3 per cell]

DFT total energy   -273.0 eV for the cell shown
Crystal system   trigonal
Magnetic moment   12.4 μB/cell
DOS(E_F)   0.441 states/eV/atom


[11]
Entry from Alexandria via LeMat-Bulk: a PBEsol-optimized structure of RbTl3C (SCAN).

Unit cell a=5.2022 b=5.2022 c=5.2022 alpha=90.00 beta=90.00 gamma=90.00
Space group Pm-3m (No. 221)
Inequivalent atoms, fractional coordinates:
Rb  0.0000  0.0000  0.0000 [1 per cell]
Tl  0.0000  0.5000  0.5000 [3 per cell]
C  0.5000  0.5000  0.5000 [1 per cell]

DFT total energy   -243.5 eV for the cell shown
Energy relative to the elements   0.8744 eV per atom
Crystal system   cubic
Magnetic moment   0.0 μB/cell
DOS(E_F)   0.575 states/eV/atom


[12]
Entry from Alexandria via LeMat-Bulk: a PBEsol-optimized structure of BeRu2Pb (SCAN).

Unit cell a=3.8555 b=3.8555 c=7.8958 alpha=90.00 beta=90.00 gamma=90.00
Space group I-4m2 (No. 119)
Inequivalent atoms, fractional coordinates:
Be  0.0000  0.0000  0.0000 [2 per cell]
Ru  0.0000  0.0000  0.5000 [2 per cell]
Ru  0.0000  0.5000  0.7500 [2 per cell]
Pb  0.0000  0.5000  0.2500 [2 per cell]

DFT total energy   -295.1 eV for the cell shown
Energy relative to the elements   0.5599 eV per atom
Crystal system   tetragonal
Magnetic moment   0.0 μB/cell
DOS(E_F)   1.029 states/eV/atom


- The lowest DFT total energy belongs to which entry?
  Sc2Nb3Ge4


- Which of these has the highest DFT total energy?
  NiHSN2